Below is a relaxed Ti2MnRhSe crystal, with properties calculated at the PBE level.

abc: 4.609 4.609 4.198
angles: 90.00 90.00 90.00
Fractional positions:
Ti  0.000  0.500  0.000
Ti  0.500  0.000  0.000
Mn  0.000  0.000  0.500
Rh  0.500  0.500  0.500
Se  0.000  0.000  0.000

Summary:
The calculation puts the density of states at the Fermi level at 1.09 states/eV per atom. Its space group is No. 123. The value obtained for the total energy is -6.74 eV per atom.



Below is a relaxed La2YBe crystal, with properties calculated at the PBE level.

abc: 10.500 10.500 10.500
angles: 20.14 20.14 20.14
Fractional positions:
La  0.000  0.000  0.000
La  0.230  0.230  0.230
Y  0.767  0.767  0.767
Be  0.495  0.495  0.495

Summary:
The calculation puts the density of states at the Fermi level at 1.41 states/eV per atom. Its space group is No. 160. The value obtained for the total energy is -4.78 eV per atom. The value obtained for the energy of formation from the pure elements is 0.230 eV/atom.



Below is a relaxed Tb2Ga6Ru crystal, with properties calculated at the PBE level.

abc: 5.812 5.812 5.752
angles: 90.00 90.00 120.00
Fractional positions:
Tb  0.333  0.667  0.346
Tb  0.667  0.333  0.654
Ga  0.175  0.350  0.819
Ga  0.175  0.825  0.819
Ga  0.350  0.175  0.181
Ga  0.650  0.825  0.819
Ga  0.825  0.175  0.181
Ga  0.825  0.650  0.181
Ru  0.000  0.000  0.500

Summary:
The calculation puts the density of states at the Fermi level at 0.48 states/eV per atom. Its space group is No. 164. The value obtained for the total energy is -4.60 eV per atom. The value obtained for the energy of formation from the pure elements is -0.522 eV/atom.



Below is a relaxed VHSeBr2 crystal, with properties calculated at the PBE level.

abc: 5.174 5.174 4.739
angles: 90.00 90.00 90.00
Fractional positions:
V  0.000  0.000  0.000
H  0.500  0.500  0.500
Se  0.000  0.000  0.500
Br  0.000  0.500  0.000
Br  0.500  0.000  0.000

Summary:
The calculation puts the density of states at the Fermi level at 0.85 states/eV per atom. Its space group is No. 123. The value obtained for the total energy is -3.72 eV per atom.



Below is a relaxed Tm2ZnIr crystal, with properties calculated at the PBE level.

abc: 3.457 3.457 6.948
angles: 90.00 90.00 90.00
Fractional positions:
Tm  0.000  0.000  0.231
Tm  0.000  0.000  0.769
Zn  0.500  0.500  0.500
Ir  0.500  0.500  0.000

Summary:
The calculation puts the density of states at the Fermi level at 0.63 states/eV per atom. Its space group is No. 123. The value obtained for the total energy is -5.44 eV per atom. The value obtained for the energy of formation from the pure elements is -0.668 eV/atom.



Below is a relaxed CdCu2Br crystal, with properties calculated at the PBE level.

abc: 5.954 5.954 5.954
angles: 108.16 108.16 112.13
Fractional positions:
Cd  0.000  0.000  0.000
Cd  0.750  0.250  0.500
Cu  0.140  0.625  0.015
Cu  0.375  0.390  0.515
Cu  0.610  0.125  0.985
Cu  0.875  0.860  0.485
Br  0.250  0.750  0.500
Br  0.500  0.500  0.000

Summary:
The calculation puts the density of states at the Fermi level at 0.29 states/eV per atom. Its space group is No. 122. The value obtained for the total energy is -2.39 eV per atom.



Asked for mass density across the records above, the calculation gives 6.2, 5.2, 8.3, 3.8, 11.9, 6.5 g cm⁻³ in order.